DFT (GGA+U) results for an optimized crystal structure of Mn5Si4O14.

## Properties
The total DFT energy (no corrections) comes out at -358.95 eV for the cell shown. The spin magnetization comes out at 23.00 μB per formula unit. Its density of states at the Fermi level is 0.053 states/eV/atom.

CIF file:
```
data_Mn5Si4O14
_cell_length_a 7.8151
_cell_length_b 8.9713
_cell_length_c 9.5939
_cell_angle_alpha 103.70
_cell_angle_beta 99.62
_cell_angle_gamma 103.99
_symmetry_space_group_name_H-M 'P -1'
_symmetry_Int_Tables_number 2
_symmetry_space_group_name_Hall '-P 1'
loop_
_atom_site_label
_atom_site_fract_x
_atom_site_fract_y
_atom_site_fract_z
Mn1 0.1340 0.0746 0.2770
Mn2 0.2257 0.3086 0.5960
Mn3 0.2436 0.1967 0.8996
Mn4 0.2701 0.7641 0.2615
Mn5 0.3647 0.4282 0.2309
Si1 0.0904 0.8183 0.9499
Si2 0.2144 0.9307 0.5822
Si3 0.3040 0.5813 0.9366
Si4 0.4238 0.6908 0.5698
O1 0.0041 0.8335 0.5671
O2 0.1302 0.9695 0.8795
O3 0.1336 0.2454 0.0792
O4 0.1647 0.6735 0.8703
O5 0.1814 0.8769 0.1296
O6 0.2251 0.3891 0.8373
O7 0.2357 0.9300 0.4122
O8 0.2723 0.1201 0.6883
O9 0.2883 0.5933 0.1097
O10 0.3423 0.6423 0.3883
O11 0.3534 0.2691 0.3918
O12 0.3601 0.5407 0.6340
O13 0.3633 0.8475 0.6475
O14 0.4854 0.3310 0.0571
```